1.
SrLaPd: relaxed, PBE.

Unit cell a=3.965 b=7.323 c=7.433 alpha=75.97 beta=89.52 gamma=89.96
Element x y z (fractional)
Sr1 0.000 0.000 0.000
Sr2 0.495 0.510 0.932
La1 0.502 0.112 0.512
La2 0.504 0.631 0.428
Pd1 0.000 0.360 0.653
Pd2 0.000 0.800 0.648

Results
DOS(E_F): 1.06 states/eV per atom
SG: No. 1
distance to the lowest polymorph of the same formula: 0.25 eV per formula unit


2.
BaNi2: relaxed, PBE.

Unit cell a=5.965 b=5.965 c=6.496 alpha=107.22 beta=107.22 gamma=40.39
Element x y z (fractional)
Ba1 0.000 0.000 0.000
Ba2 0.675 0.675 0.561
Ni1 0.317 0.317 0.233
Ni2 0.424 0.424 0.605
Ni3 0.730 0.730 0.082
Ni4 0.902 0.902 0.415

Results
DOS(E_F): 1.31 states/eV per atom
SG: No. 8
E_tot: -4.315 eV per atom


3.
BeW3N: relaxed, PBE.

Unit cell a=4.071 b=4.071 c=4.071 alpha=90.00 beta=90.00 gamma=90.00
Element x y z (fractional)
Be1 0.000 0.000 0.000
W1 0.000 0.500 0.500
W2 0.500 0.000 0.500
W3 0.500 0.500 0.000
N1 0.500 0.500 0.500

Results
DOS(E_F): 0.47 states/eV per atom
SG: No. 221
distance to the lowest polymorph of the same formula: 0.00 eV per formula unit


4.
Ca2AlGa3Pt4: relaxed, PBE.

Unit cell a=4.167 b=4.167 c=10.940 alpha=90.00 beta=90.00 gamma=90.00
Element x y z (fractional)
Ca1 0.000 0.500 0.250
Ca2 0.500 0.000 0.750
Al1 0.000 0.000 0.500
Ga1 0.000 0.500 0.865
Ga2 0.500 0.000 0.135
Ga3 0.500 0.500 0.500
Pt1 0.000 0.000 0.000
Pt2 0.000 0.500 0.635
Pt3 0.500 0.000 0.365
Pt4 0.500 0.500 0.000

Results
DOS(E_F): 0.38 states/eV per atom
SG: No. 115
E_tot: -5.020 eV per atom


5.
Nd2PdAu: relaxed, PBE.

Unit cell a=3.665 b=3.665 c=7.372 alpha=90.00 beta=90.00 gamma=90.00
Element x y z (fractional)
Nd1 0.000 0.000 0.244
Nd2 0.000 0.000 0.756
Pd1 0.500 0.500 0.000
Au1 0.500 0.500 0.500

Results
DOS(E_F): 0.78 states/eV per atom
SG: No. 123
E_tot: -5.250 eV per atom


6.
Sc5CdPd3: relaxed, PBE.

Unit cell a=8.387 b=8.387 c=5.890 alpha=90.00 beta=90.00 gamma=120.00
Element x y z (fractional)
Sc1 0.000 0.317 0.250
Sc2 0.000 0.683 0.750
Sc3 0.317 0.000 0.250
Sc4 0.317 0.317 0.750
Sc5 0.333 0.667 0.000
Sc6 0.333 0.667 0.500
Sc7 0.667 0.333 0.000
Sc8 0.667 0.333 0.500
Sc9 0.683 0.000 0.750
Sc10 0.683 0.683 0.250
Cd1 0.000 0.000 0.000
Cd2 0.000 0.000 0.500
Pd1 0.000 0.369 0.750
Pd2 0.000 0.631 0.250
Pd3 0.369 0.000 0.750
Pd4 0.369 0.369 0.250
Pd5 0.631 0.000 0.250
Pd6 0.631 0.631 0.750

Results
DOS(E_F): 0.84 states/eV per atom
SG: No. 193
E_tot: -5.929 eV per atom


7.
TlCuW2: relaxed, PBE.

Unit cell a=2.891 b=2.891 c=8.984 alpha=90.00 beta=90.00 gamma=111.24
Element x y z (fractional)
Tl1 0.000 0.000 0.000
Cu1 0.500 0.500 0.259
W1 0.000 0.000 0.486
W2 0.500 0.500 0.714

Results
DOS(E_F): 0.43 states/eV per atom
SG: No. 35
distance to the lowest polymorph of the same formula: 0.00 eV per formula unit


8.
NdTm2Te: relaxed, PBE.

Unit cell a=11.118 b=11.118 c=11.118 alpha=19.52 beta=19.52 gamma=19.52
Element x y z (fractional)
Nd1 0.000 0.000 0.000
Tm1 0.104 0.104 0.104
Tm2 0.896 0.896 0.896
Te1 0.500 0.500 0.500

Results
DOS(E_F): 1.59 states/eV per atom
SG: No. 166
distance to the lowest polymorph of the same formula: 1.73 eV per formula unit


9.
Nd2UNiSe5: relaxed, PBE.

Unit cell a=8.920 b=8.920 c=12.489 alpha=90.00 beta=90.00 gamma=154.24
Element x y z (fractional)
Nd1 0.108 0.892 0.500
Nd2 0.119 0.881 0.847
Nd3 0.881 0.119 0.347
Nd4 0.892 0.108 0.000
U1 0.175 0.825 0.175
U2 0.825 0.175 0.675
Ni1 0.440 0.560 0.573
Ni2 0.560 0.440 0.073
Se1 0.017 0.983 0.166
Se2 0.306 0.694 0.841
Se3 0.311 0.689 0.510
Se4 0.341 0.659 0.171
Se5 0.498 0.502 0.902
Se6 0.502 0.498 0.402
Se7 0.659 0.341 0.671
Se8 0.689 0.311 0.010
Se9 0.694 0.306 0.341
Se10 0.983 0.017 0.666

Results
DOS(E_F): 0.77 states/eV per atom
SG: No. 36
E_tot: -6.281 eV per atom


10.
Ca2Cu2Pd: relaxed, PBE.

Unit cell a=5.370 b=5.370 c=5.370 alpha=118.01 beta=118.01 gamma=93.48
Element x y z (fractional)
Ca1 0.250 0.750 0.500
Ca2 0.750 0.250 0.500
Cu1 0.156 0.156 0.000
Cu2 0.844 0.844 0.000
Pd1 0.500 0.500 0.000

Results
DOS(E_F): 0.51 states/eV per atom
SG: No. 139
distance to the lowest polymorph of the same formula: 1.10 eV per formula unit


11.
MgPa2Si: relaxed, PBE.

Unit cell a=11.409 b=11.409 c=11.409 alpha=15.65 beta=15.65 gamma=15.65
Element x y z (fractional)
Mg1 0.000 0.000 0.000
Pa1 0.096 0.096 0.096
Pa2 0.904 0.904 0.904
Si1 0.500 0.500 0.500

Results
DOS(E_F): 1.51 states/eV per atom
SG: No. 166
E_tot: -6.322 eV per atom


12.
MgZnBIr2: relaxed, PBE.

Unit cell a=4.144 b=4.144 c=4.094 alpha=90.00 beta=90.00 gamma=90.00
Element x y z (fractional)
Mg1 0.000 0.000 0.000
Zn1 0.500 0.500 0.000
B1 0.500 0.500 0.500
Ir1 0.000 0.500 0.500
Ir2 0.500 0.000 0.500

Results
DOS(E_F): 0.39 states/eV per atom
SG: No. 123
E_tot: -5.701 eV per atom


Summary of total magnetic moment in μB/cell
0.000, 0.011, 0.000, 0.000, 0.000, 0.000, 0.000, 0.522, 3.741, 0.000, 0.000, 0.000
(order as listed above)